An optimized crystal structure of BaDySn3. Source: Alexandria, functional PBE.

a b c (Å): 15.457 15.457 4.526
angles (deg): 90.00 90.00 162.37
Positions (direct):
Ba (0.080, 0.920, 0.750)
Ba (0.920, 0.080, 0.250)
Dy (0.204, 0.796, 0.250)
Dy (0.796, 0.204, 0.750)
Sn (0.305, 0.695, 0.250)
Sn (0.368, 0.632, 0.750)
Sn (0.472, 0.528, 0.750)
Sn (0.528, 0.472, 0.250)
Sn (0.632, 0.368, 0.250)
Sn (0.695, 0.305, 0.750)

Output
Its space group is Cmcm. The value obtained for the total magnetic moment is 0.000 μB per atom. Its formation energy is -2.824 eV/f.u. The calculation puts the total energy at -4.2716 eV/atom.